BeNiTe2 after structural relaxation, computed with PBE.

```
BeNiTe2
1.0
4.0417 0.0000 0.0000
0.0000 5.6109 0.0000
0.0000 0.0000 7.8376
Be Ni Te
2 2 4
direct
0.0000 0.0000 0.0000 Be
0.5000 0.5000 0.0000 Be
0.0000 0.5000 0.8795 Ni
0.5000 0.0000 0.8795 Ni
0.0000 0.0000 0.6834 Te
0.0000 0.5000 0.1949 Te
0.5000 0.0000 0.1949 Te
0.5000 0.5000 0.6834 Te
```

- raw total energy (eV/atom) = -3.936
- ρ (g/cm3) = 6.03
- energy relative to the elements, uncorrected (eV per formula unit) = 0.05
- DOS at the Fermi energy (states/eV/f.u.) = 1.97